1.
Material: TbTh2Cu
Method: DFT, GGA-PBE
State: optimized geometry

## Properties
* polymorph energy (0 for the lowest one): 93 meV/atom
* M_tot: 0.000 μB per formula unit
* ΔH_f (0 K): 0.109 eV per atom
* energy: -5.78 eV per atom

Lattice parameters (Å, degrees): 3.6256 3.6256 30.0510 90.00 90.00 120.00
Space group R-3m (No. 166, hexagonal axes)
One atom of each set of equivalent atoms:
Tb 0.0000 0.0000 0.0000 (multiplicity 3)
Th 0.0000 0.0000 0.2370 (multiplicity 6)
Cu 0.0000 0.0000 0.5000 (multiplicity 3)

---

2.
Material: TbThCu4
Method: DFT, GGA-PBE
State: optimized geometry

## Properties
* polymorph energy (0 for the lowest one): 0 meV/atom
* M_tot: 0.000 μB per formula unit
* ΔH_f (0 K): -0.181 eV per atom
* energy: -4.92 eV per atom

Lattice parameters (Å, degrees): 3.886 3.886 15.532 90.00 90.00 90.00
Space group I-4m2 (No. 119)
One atom of each set of equivalent atoms:
Tb 0.000 0.000 0.000 (multiplicity 2)
Th 0.000 0.500 0.750 (multiplicity 2)
Cu 0.000 0.000 0.422 (multiplicity 4)
Cu 0.000 0.500 0.169 (multiplicity 4)

---

3.
Material: TbTiCu
Method: DFT, GGA-PBE
State: optimized geometry

## Properties
* M_tot: 0.568 μB per formula unit
* ΔH_f (0 K): 0.034 eV per atom
* energy: -5.51 eV per atom

Lattice parameters (Å, degrees): 3.279 3.279 11.041 90.00 90.00 90.00
Space group P4/mmm (No. 123)
One atom of each set of equivalent atoms:
Tb 0.000 0.000 0.173 (multiplicity 2)
Ti 0.500 0.500 0.372 (multiplicity 2)
Cu 0.000 0.000 0.500 (multiplicity 1)
Cu 0.500 0.500 0.000 (multiplicity 1)

---

Q: Which value of energy does entry 2 give?
A: -4.92 eV per atom

---

Repeat the second record exactly.
Material: TbThCu4
Method: DFT, GGA-PBE
State: optimized geometry

## Properties
* polymorph energy (0 for the lowest one): 0 meV/atom
* M_tot: 0.000 μB per formula unit
* ΔH_f (0 K): -0.181 eV per atom
* energy: -4.92 eV per atom

Lattice parameters (Å, degrees): 3.886 3.886 15.532 90.00 90.00 90.00
Space group I-4m2 (No. 119)
One atom of each set of equivalent atoms:
Tb 0.000 0.000 0.000 (multiplicity 2)
Th 0.000 0.500 0.750 (multiplicity 2)
Cu 0.000 0.000 0.422 (multiplicity 4)
Cu 0.000 0.500 0.169 (multiplicity 4)

---

Q: Number 3 is which compound?
A: TbTiCu